1.
PBE-GGA Cs4Sn2O, optimized geometry; energy relative to the elements, uncorrected = -348.1 meV/atom
1.0
-3.728 3.728 8.221
3.728 -3.728 8.221
3.728 3.728 -8.221
Cs Sn O
4 2 1
direct
0.000 0.500 0.500 Cs
0.154 0.154 0.000 Cs
0.500 0.000 0.500 Cs
0.846 0.846 0.000 Cs
0.419 0.419 0.000 Sn
0.581 0.581 0.000 Sn
0.000 0.000 0.000 O

=====

2.
PBE-GGA SrPmAlPb, optimized geometry; formation energy = -0.281 eV per atom
1.0
0.000 3.922 3.922
3.922 0.000 3.922
3.922 3.922 0.000
Sr Pm Al Pb
1 1 1 1
direct
0.000 0.000 0.000 Sr
0.500 0.500 0.500 Pm
0.750 0.750 0.750 Al
0.250 0.250 0.250 Pb

=====

3.
PBE-GGA BaSr5Cd, optimized geometry; formation energy = -0.025 eV per atom; E above lowest polymorph = 0.009 eV/atom
1.0
5.891 0.000 0.000
0.000 5.891 0.000
0.000 0.000 10.456
Ba Sr Cd
1 5 1
direct
0.000 0.000 0.000 Ba
0.000 0.500 0.311 Sr
0.000 0.500 0.689 Sr
0.500 0.000 0.311 Sr
0.500 0.000 0.689 Sr
0.500 0.500 0.000 Sr
0.500 0.500 0.500 Cd

=====

4.
PBE-GGA LiMg2AlZn, optimized geometry; formation energy = 0.322 eV per atom
1.0
4.987 0.000 0.000
0.000 4.987 0.000
0.000 0.000 4.729
Li Mg Al Zn
1 2 1 1
direct
0.000 0.000 0.000 Li
0.000 0.500 0.500 Mg
0.500 0.000 0.500 Mg
0.500 0.500 0.000 Al
0.000 0.000 0.500 Zn